# K4Np3MnO12 PBE with a Hubbard U optimized geometry
data_K4Np3MnO12
_chemical_formula_sum 'K8 Np6 Mn2 O24'
_symmetry_space_group_name_H-M 'I m -3 m'
_symmetry_Int_Tables_number 229
_symmetry_space_group_name_Hall '-I 4 2 3'
_cell_length_a 8.514
_cell_length_b 8.514
_cell_length_c 8.514
_cell_angle_alpha 90.00
_cell_angle_beta 90.00
_cell_angle_gamma 90.00
loop_
_atom_site_label
_atom_site_type_symbol
_atom_site_fract_x
_atom_site_fract_y
_atom_site_fract_z
_atom_site_occupancy
K1 K 0.250 0.250 0.250 1
Np1 Np 0.000 0.000 0.500 1
Mn1 Mn 0.000 0.000 0.000 1
O1 O 0.000 0.000 0.268 1
O2 O 0.000 0.250 0.500 1
# Total magnetic moment: 8.00 μB per formula unit
# Total DFT energy (no corrections): -320.33 eV for the cell shown